4
Lattice="-4.1658 -2.9459 1.3856 0.5565 -5.2142 0.6738 -0.2687 -2.0820 4.8523" Properties=species:S:1:pos:R:3 comment="PmPaAlSn, optimized geometry, DFT GGA-PBE" energy_ev_per_atom=-5.638 sg=F-43m formation_energy_ev_per_atom=-0.140 pbc="T T T"
Al -2.9085 -7.6816 5.1837
Sn -0.9695 -2.5605 1.7279
Pm -1.9390 -5.1211 3.4558
Pa 0.0000 0.0000 0.0000

=====

12
Lattice="-4.1335 -2.2500 3.0103 1.1414 -6.6087 -3.3722 6.7279 -2.5713 7.3164" Properties=species:S:1:pos:R:3 comment="CaAc3Hg2, optimized geometry, DFT GGA-PBE" energy_ev_per_atom=-2.810 relative_energy_ev_per_fu=0.00 sg=Pmc2_1 formation_energy_ev_per_atom=-0.321 pbc="T T T"
Hg 3.2461 -6.0351 -0.0536
Hg 4.4468 -8.0827 5.2485
Hg -0.7704 -3.0026 1.8818
Hg 4.6844 -3.4986 3.8172
Ac 2.6393 -3.0594 1.3374
Ac 1.5445 -6.7013 -2.8880
Ac 5.4178 -7.2075 2.0521
Ac -0.1396 -5.9559 0.5406
Ac 6.8729 -5.6515 5.2132
Ac 3.6776 -4.3286 6.9983
Ca 0.9084 -2.3467 4.6773
Ca 2.2880 -5.9602 3.8708

=====

5
Lattice="-4.2308 0.9790 -3.3349 -3.4329 -1.9986 3.7684 -0.5502 5.0646 2.1848" Properties=species:S:1:pos:R:3 comment="TaTe2PbI, optimized geometry, DFT GGA-PBE" energy_ev_per_atom=-4.462 relative_energy_ev_per_fu=0.00 sg=P4/mmm pbc="T T T"
Te -2.1154 0.4895 -1.6675
Te -1.7164 -0.9993 1.8842
Ta 0.0000 0.0000 0.0000
Pb -4.1070 2.0225 1.3091
I -0.2751 2.5323 1.0924

=====

24
Lattice="-6.6484 -1.4938 -5.2584 4.1377 -6.7858 -3.3038 -1.4073 0.3536 8.7231" Properties=species:S:1:pos:R:3 comment="Tl2Pd3Pt, optimized geometry, DFT GGA-PBE" energy_ev_per_atom=-4.335 relative_energy_ev_per_fu=1.16 sg=I4_1/amd formation_energy_ev_per_atom=0.057 pbc="T T T"
Pt -5.2072 -3.4245 0.5123
Pt -1.8071 -4.9244 -3.3606
Pt -2.1109 -3.0016 3.5215
Pt -4.1038 -1.8554 -1.3287
Pd -0.7332 -2.4179 -2.5004
Pd 1.7340 -5.8591 2.9942
Pd -1.7775 -5.8617 -6.0617
Pd -0.4195 -4.8868 4.8485
Pd -6.8986 -1.5394 -0.8147
Pd 2.4376 -6.0359 -1.3673
Pd -1.5902 -6.6060 0.3650
Pd -3.4985 -3.0392 -4.6876
Pd -4.1334 -0.9181 1.3724
Pd -5.1776 -4.3619 -2.1888
Pd 0.3688 -2.6430 0.2846
Pd -2.4124 -3.7405 -0.0017
Tl -4.2462 -5.8667 -0.0090
Tl -6.7340 -1.7868 1.9774
Tl -0.0913 -4.8775 -1.3079
Tl -3.0719 -0.5594 4.0428
Tl -5.8195 -1.9022 -3.3814
Tl -0.5841 -4.6394 2.0564
Tl -4.0886 -5.7756 -4.4695
Tl -1.8222 -1.0041 -0.2198

=====

3
Lattice="-0.7565 -1.5262 -2.9789 0.6862 -3.0599 1.3935 -5.9028 1.7701 2.5687" Properties=species:S:1:pos:R:3 comment="AcSbOs, optimized geometry, DFT GGA-PBE" energy_ev_per_atom=-6.479 relative_energy_ev_per_fu=0.08 sg=I4mm pbc="T T T"
Ac -0.1660 -0.0146 0.0496
Os -2.2614 -2.4891 -0.1269
Sb -3.5458 -0.3123 1.0605

=====

10
Lattice="6.7085 -0.0016 -0.0031 -0.0017 6.7088 -0.0030 3.3512 3.3515 4.7329" Properties=species:S:1:pos:R:3 comment="Sr2LiZn6Ni, optimized geometry, DFT GGA-PBE" energy_ev_per_atom=-1.955 sg=I4/mmm formation_energy_ev_per_atom=-0.085 pbc="T T T"
Sr 6.7074 3.3508 2.3623
Sr 3.3506 6.7078 2.3644
Zn 6.7067 6.7071 2.3787
Zn 5.0164 5.0182 -0.0037
Zn 1.6900 5.0187 -0.0030
Zn 3.3513 3.3515 2.3481
Zn 8.3680 5.0399 4.7298
Zn 5.0416 5.0404 4.7305
Li 0.0000 0.0000 0.0000
Ni 3.3534 3.3536 -0.0031

=====

6
Lattice="3.3289 0.0000 0.0000 -1.6644 2.8829 0.0000 0.0000 0.0000 8.9261" Properties=species:S:1:pos:R:3 comment="LiCuO, optimized geometry, DFT GGA-PBE" energy_ev_per_atom=-4.253 sg=P-3m1 pbc="T T T"
O 0.0000 1.9219 3.0984
O 1.6644 0.9610 5.8277
Cu 1.6644 0.9610 3.2409
Cu 0.0000 1.9219 5.6852
Li 0.0000 1.9219 1.2642
Li 1.6644 0.9610 7.6619

=====

6
Lattice="-3.9937 -0.5611 -0.2034 0.3947 -3.5156 1.9469 -0.6357 2.7063 5.0159" Properties=species:S:1:pos:R:3 comment="POsS, optimized geometry, DFT GGA-PBE" energy_ev_per_atom=-6.908 sg=I-4m2 pbc="T T T"
S 0.0384 -1.0812 2.2274
S -2.4736 1.7492 3.6602
Os -1.7995 -2.0383 0.8717
Os -0.3178 1.3531 2.5079
P -0.2794 0.2719 4.7353
P -2.1558 0.3960 1.1523

=====

5
Lattice="-2.0726 -1.5403 4.5420 4.1342 -3.0820 0.8413 2.3046 3.7232 2.3143" Properties=species:S:1:pos:R:3 comment="SrZnIn2Pt, optimized geometry, DFT GGA-PBE" energy_ev_per_atom=-3.229 sg=P4/mmm formation_energy_ev_per_atom=-0.335 pbc="T T T"
In -1.0363 -0.7701 2.2710
In 2.0671 -1.5410 0.4207
Zn 1.1523 1.8616 1.1571
Pt 0.0000 0.0000 0.0000
Sr 2.1831 -0.4496 3.8488

=====

6
Lattice="-0.5425 3.2910 -2.9148 -3.5243 -1.7974 1.9924 0.7280 6.2713 6.9452" Properties=species:S:1:pos:R:3 comment="BaSrZn2Ge2, optimized geometry, DFT GGA-PBE" energy_ev_per_atom=-3.076 sg=P-3m1 formation_energy_ev_per_atom=-0.511 pbc="T T T"
Zn -1.3443 3.2498 0.5537
Zn -1.9945 4.5151 5.4691
Ge -0.9986 6.2278 3.8517
Ge -2.3402 1.5371 2.1711
Ba 0.0000 0.0000 0.0000
Sr 0.3640 3.1356 3.4726

=====

4
Lattice="4.5964 0.0063 0.0203 -2.0597 4.0326 -0.0096 0.4769 0.6980 2.2693" Properties=species:S:1:pos:R:3 comment="BeFe2Co, optimized geometry, DFT GGA-PBE" energy_ev_per_atom=-6.968 sg=C2/m formation_energy_ev_per_atom=-0.028 pbc="T T T"
Fe 0.0000 0.0000 0.0000
Fe 2.5367 0.3521 1.1448
Be -0.7914 2.3653 1.1298
Co 1.2683 2.0194 0.0054

=====

20
Lattice="5.1036 0.0000 0.0000 0.0000 10.0604 0.0000 0.0000 0.0000 9.6032" Properties=species:S:1:pos:R:3 comment="CeHg3Au, optimized geometry, DFT GGA-PBE" energy_ev_per_atom=-2.314 sg=Pnma formation_energy_ev_per_atom=-0.291 pbc="T T T"
Ce 1.2759 2.5026 0.0620
Ce 1.2759 7.5328 4.7396
Ce 3.8277 7.5578 9.5412
Ce 3.8277 2.5276 4.8636
Au 3.8277 3.5064 1.7240
Au 1.2759 6.5539 7.8791
Au 3.8277 8.5366 3.0776
Au 1.2759 1.5237 6.5256
Hg 3.8277 0.6950 1.3480
Hg 1.2759 4.3352 6.1496
Hg 1.2759 8.7714 1.5789
Hg 3.8277 4.3287 8.5345
Hg 1.2759 3.7412 3.2227
Hg 1.2759 0.7015 3.7329
Hg 3.8277 9.3589 5.8703
Hg 3.8277 5.7252 3.4535
Hg 3.8277 6.3192 6.3805
Hg 1.2759 5.7317 1.0687
Hg 1.2759 9.3654 8.2551
Hg 3.8277 1.2890 8.0243